Record 1
Here is a geometry-optimized HfZr4Tl3 structure from the Alexandria database. Energies are from PBE.

Lattice parameters (Å, degrees): 3.206 3.206 17.954 90.00 90.00 90.00
Fractional coordinates of all 8 atoms:
Hf1 0.000 0.000 0.000
Zr1 0.500 0.500 0.123
Zr2 0.500 0.500 0.377
Zr3 0.500 0.500 0.623
Zr4 0.500 0.500 0.877
Tl1 0.000 0.000 0.253
Tl2 0.000 0.000 0.500
Tl3 0.000 0.000 0.747

## Properties
Size of the total moment in μB/f.u.: 0.00
Energy of formation from the pure elements in kJ per mole of atoms: -5.9
Electronic total energy in eV/atom: -6.47

---

Record 2
Here is a geometry-optimized CaTbAlPb structure from the Alexandria database. Energies are from PBE.

Lattice parameters (Å, degrees): 5.352 5.352 5.352 60.00 60.00 60.00
Fractional coordinates of all 4 atoms:
Ca1 0.000 0.000 0.000
Tb1 0.500 0.500 0.500
Al1 0.250 0.250 0.250
Pb1 0.750 0.750 0.750

## Properties
Size of the total moment in μB/f.u.: 0.00
Energy of formation from the pure elements in kJ per mole of atoms: -30.4
Electronic total energy in eV/atom: -3.84

---

Record 3
Here is a geometry-optimized NaGeSeBr2 structure from the Alexandria database. Energies are from PBE.

Lattice parameters (Å, degrees): 5.196 5.196 5.457 90.00 90.00 90.00
Fractional coordinates of all 5 atoms:
Na1 0.000 0.000 0.000
Ge1 0.500 0.500 0.500
Se1 0.000 0.000 0.500
Br1 0.000 0.500 0.000
Br2 0.500 0.000 0.000

## Properties
Size of the total moment in μB/f.u.: 1.00
Offset from the most stable computed form in eV per formula unit: 3.17
E_form (uncorrected) in eV/atom: 0.11
Electronic total energy in eV/atom: -2.45

---

Record 4
Here is a geometry-optimized Sm2Tm3Tl3 structure from the Alexandria database. Energies are from PBE.

Lattice parameters (Å, degrees): 4.925 5.007 9.134 90.00 90.00 90.00
Fractional coordinates of all 8 atoms:
Sm1 0.000 0.000 0.244
Sm2 0.000 0.000 0.756
Tm1 0.500 0.000 0.500
Tm2 0.500 0.500 0.231
Tm3 0.500 0.500 0.769
Tl1 0.000 0.500 0.000
Tl2 0.000 0.500 0.500
Tl3 0.500 0.000 0.000

## Properties
Size of the total moment in μB/f.u.: 0.00
Energy of formation from the pure elements in kJ per mole of atoms: -22.0
Electronic total energy in eV/atom: -3.97

---

Record 5
Here is a geometry-optimized TbPaSbO6 structure from the Alexandria database. Energies are from PBE.

Lattice parameters (Å, degrees): 5.637 5.637 9.608 90.00 90.00 120.00
Fractional coordinates of all 18 atoms:
Tb1 0.333 0.667 0.250
Tb2 0.667 0.333 0.750
Pa1 0.000 0.000 0.000
Pa2 0.000 0.000 0.500
Sb1 0.333 0.667 0.750
Sb2 0.667 0.333 0.250
O1 0.020 0.336 0.629
O2 0.020 0.684 0.871
O3 0.316 0.336 0.871
O4 0.316 0.980 0.629
O5 0.336 0.020 0.129
O6 0.336 0.316 0.371
O7 0.664 0.684 0.629
O8 0.664 0.980 0.871
O9 0.684 0.020 0.371
O10 0.684 0.664 0.129
O11 0.980 0.316 0.129
O12 0.980 0.664 0.371

## Properties
Size of the total moment in μB/f.u.: 0.00
E_form (uncorrected) in eV/atom: -2.70
Electronic total energy in eV/atom: -8.04

---

Record 6
Here is a geometry-optimized Pr4Ho3Th structure from the Alexandria database. Energies are from PBE.

Lattice parameters (Å, degrees): 12.021 12.021 6.281 95.19 95.19 17.31
Fractional coordinates of all 8 atoms:
Pr1 0.125 0.125 0.374
Pr2 0.375 0.375 0.120
Pr3 0.625 0.625 0.880
Pr4 0.875 0.875 0.626
Ho1 0.250 0.250 0.749
Ho2 0.500 0.500 0.500
Ho3 0.750 0.750 0.251
Th1 0.000 0.000 0.000

## Properties
Size of the total moment in μB/f.u.: 0.00
Offset from the most stable computed form in eV per formula unit: 0.00
Energy of formation from the pure elements in kJ per mole of atoms: 3.3
Electronic total energy in eV/atom: -5.00

---

Record 7
Here is a geometry-optimized Sc3BiB structure from the Alexandria database. Energies are from PBE.

Lattice parameters (Å, degrees): 8.489 8.489 5.400 90.00 90.00 141.81
Fractional coordinates of all 10 atoms:
Sc1 0.000 0.000 0.000
Sc2 0.000 0.000 0.500
Sc3 0.098 0.407 0.750
Sc4 0.407 0.098 0.250
Sc5 0.593 0.902 0.750
Sc6 0.902 0.593 0.250
Bi1 0.175 0.825 0.750
Bi2 0.825 0.175 0.250
B1 0.468 0.532 0.750
B2 0.532 0.468 0.250

## Properties
Size of the total moment in μB/f.u.: 0.28
Offset from the most stable computed form in eV per formula unit: 4.56
Energy of formation from the pure elements in kJ per mole of atoms: 33.4
Electronic total energy in eV/atom: -5.56

---

Record 8
Here is a geometry-optimized NdHoNi2 structure from the Alexandria database. Energies are from PBE.

Lattice parameters (Å, degrees): 3.427 3.427 6.845 90.00 90.00 90.00
Fractional coordinates of all 4 atoms:
Nd1 0.000 0.000 0.000
Ho1 0.000 0.000 0.500
Ni1 0.500 0.500 0.270
Ni2 0.500 0.500 0.730

## Properties
Size of the total moment in μB/f.u.: 0.00
Offset from the most stable computed form in eV per formula unit: 0.32
Energy of formation from the pure elements in kJ per mole of atoms: -29.8
Electronic total energy in eV/atom: -5.54

---

Record 9
Here is a geometry-optimized Tb15Pm4Nd structure from the Alexandria database. Energies are from PBE.

Lattice parameters (Å, degrees): 5.074 5.074 25.305 90.00 90.00 90.00
Fractional coordinates of all 20 atoms:
Tb1 0.000 0.000 0.000
Tb2 0.000 0.000 0.200
Tb3 0.000 0.000 0.400
Tb4 0.000 0.000 0.600
Tb5 0.000 0.000 0.800
Tb6 0.000 0.500 0.100
Tb7 0.000 0.500 0.300
Tb8 0.000 0.500 0.500
Tb9 0.000 0.500 0.700
Tb10 0.000 0.500 0.900
Tb11 0.500 0.000 0.100
Tb12 0.500 0.000 0.300
Tb13 0.500 0.000 0.500
Tb14 0.500 0.000 0.700
Tb15 0.500 0.000 0.900
Pm1 0.500 0.500 0.200
Pm2 0.500 0.500 0.400
Pm3 0.500 0.500 0.600
Pm4 0.500 0.500 0.800
Nd1 0.500 0.500 0.000

## Properties
Size of the total moment in μB/f.u.: 0.00
Energy of formation from the pure elements in kJ per mole of atoms: 1.5
Electronic total energy in eV/atom: -4.65

---

Record 10
Here is a geometry-optimized CaScOs2 structure from the Alexandria database. Energies are from PBE.

Lattice parameters (Å, degrees): 9.977 9.977 9.977 17.31 17.31 17.31
Fractional coordinates of all 4 atoms:
Ca1 0.000 0.000 0.000
Sc1 0.225 0.225 0.225
Os1 0.485 0.485 0.485
Os2 0.750 0.750 0.750

## Properties
Size of the total moment in μB/f.u.: 0.00
Offset from the most stable computed form in eV per formula unit: 1.70
Energy of formation from the pure elements in kJ per mole of atoms: 52.2
Electronic total energy in eV/atom: -7.16

---

Record 11
Here is a geometry-optimized LaNd2MgHg4 structure from the Alexandria database. Energies are from PBE.

Lattice parameters (Å, degrees): 9.587 9.587 9.587 31.88 31.88 31.88
Fractional coordinates of all 8 atoms:
La1 0.000 0.000 0.000
Nd1 0.242 0.242 0.242
Nd2 0.758 0.758 0.758
Mg1 0.500 0.500 0.500
Hg1 0.126 0.126 0.126
Hg2 0.378 0.378 0.378
Hg3 0.622 0.622 0.622
Hg4 0.874 0.874 0.874

## Properties
Size of the total moment in μB/f.u.: 0.00
Energy of formation from the pure elements in kJ per mole of atoms: -43.5
Electronic total energy in eV/atom: -2.61

---

Record 12
Here is a geometry-optimized Na2AgAs2 structure from the Alexandria database. Energies are from PBE.

Lattice parameters (Å, degrees): 6.908 6.908 4.674 90.00 90.00 90.00
Fractional coordinates of all 10 atoms:
Na1 0.173 0.327 0.000
Na2 0.327 0.827 0.000
Na3 0.673 0.173 0.000
Na4 0.827 0.673 0.000
Ag1 0.000 0.000 0.500
Ag2 0.500 0.500 0.500
As1 0.127 0.627 0.500
As2 0.373 0.127 0.500
As3 0.627 0.873 0.500
As4 0.873 0.373 0.500

## Properties
Size of the total moment in μB/f.u.: 0.00
Offset from the most stable computed form in eV per formula unit: 0.01
Energy of formation from the pure elements in kJ per mole of atoms: -28.5
Electronic total energy in eV/atom: -3.25

---

Number 2 is which compound?
CaTbAlPb

---

Please write out number 2 again, unchanged.
Here is a geometry-optimized CaTbAlPb structure from the Alexandria database. Energies are from PBE.

Lattice parameters (Å, degrees): 5.352 5.352 5.352 60.00 60.00 60.00
Fractional coordinates of all 4 atoms:
Ca1 0.000 0.000 0.000
Tb1 0.500 0.500 0.500
Al1 0.250 0.250 0.250
Pb1 0.750 0.750 0.750

## Properties
Size of the total moment in μB/f.u.: 0.00
Energy of formation from the pure elements in kJ per mole of atoms: -30.4
Electronic total energy in eV/atom: -3.84

---

The highest size of the total moment belongs to which entry?
NaGeSeBr2